A geometry-optimized GdZnNO structure. Source: OQMD via LeMat-Bulk, functional PBE.

* energy above the most stable polymorph in this dataset: 82 meV per atom
* crystal system: tetragonal
* space-group type: P4/nmm

a b c (Å): 3.6915 3.6915 7.8116
angles (deg): 90.00 90.00 90.00
Closest atoms and distances in Å follow each position.
Sites, in units of the cell vectors:
1 Gd 0.2500 0.2500 0.1562  4 O 2.21
2 Gd 0.7500 0.7500 0.8438  4 O 2.21
3 N 0.7500 0.7500 0.3576  4 Zn 2.16
4 N 0.2500 0.2500 0.6424  4 Zn 2.16
5 O 0.7500 0.2500 0.0000  4 Gd 2.21
6 O 0.2500 0.7500 0.0000  4 Gd 2.21
7 Zn 0.7500 0.2500 0.5000  4 N 2.16
8 Zn 0.2500 0.7500 0.5000  4 N 2.16

A geometry-optimized SmHoAu4 structure. Source: OQMD via LeMat-Bulk, functional PBE.

* energy above the most stable polymorph in this dataset: 81 meV per atom
* crystal system: orthorhombic
* ΔE_f: -0.761 eV per atom
* space-group type: Imm2

a b c (Å): 5.8486 5.8486 5.8486
angles (deg): 133.26 108.23 90.11
Closest atoms and distances in Å follow each position.
Sites, in units of the cell vectors:
1 Au 0.5573 0.3373 0.2199  4 Au 2.73-3.02
2 Au 0.9477 0.6632 0.2844  4 Au 2.73-2.96
3 Au 0.3788 0.6632 0.7156  4 Au 2.73-2.96
4 Au 0.1174 0.3373 0.7801  4 Au 2.73-3.02
5 Ho 0.9584 0.9584 0.0000  12 Au 3.12-3.48, 2 Sm 3.49
6 Sm 0.5404 0.0404 0.5000  12 Au 3.12-3.45

A geometry-optimized FeAgSI structure. Source: OQMD via LeMat-Bulk, functional PBE.

* crystal system: orthorhombic
* space-group type: P2_12_12_1
* VASP energy: -4.256 eV per atom

a b c (Å): 6.9095 7.6057 7.8710
angles (deg): 90.00 90.00 90.00
Closest atoms and distances in Å follow each position.
Sites, in units of the cell vectors:
1 Ag 0.6159 0.4501 0.1070  2 S 2.50-2.51
2 Ag 0.3841 0.9501 0.3930  2 S 2.50-2.51
3 Ag 0.8841 0.5499 0.6070  2 S 2.50-2.51
4 Ag 0.1159 0.0499 0.8930  2 S 2.50-2.51
5 Fe 0.0080 0.7023 0.1036  2 S 2.26
6 Fe 0.9920 0.2023 0.3964  2 S 2.26
7 Fe 0.4920 0.2977 0.6036  2 S 2.26
8 Fe 0.5080 0.7977 0.8964  2 S 2.26
9 I 0.1845 0.3713 0.1406  2 Fe 2.73-2.81, 1 Ag 3.05
10 I 0.8155 0.8713 0.3594  2 Fe 2.73-2.81, 1 Ag 3.05
11 I 0.3155 0.6287 0.6406  2 Fe 2.73-2.81, 1 Ag 3.05
12 I 0.6845 0.1287 0.8594  2 Fe 2.73-2.81, 1 Ag 3.05
13 S 0.2882 0.8546 0.1013  2 Fe 2.26, 2 Ag 2.50-2.51
14 S 0.7118 0.3546 0.3987  2 Fe 2.26, 2 Ag 2.50-2.51
15 S 0.2118 0.1454 0.6013  2 Fe 2.26, 2 Ag 2.50-2.51
16 S 0.7882 0.6454 0.8987  2 Fe 2.26, 2 Ag 2.50-2.51

A geometry-optimized NdBiN2O structure. Source: OQMD via LeMat-Bulk, functional PBE.

* crystal system: triclinic
* space-group type: P1
* VASP energy: -6.596 eV per atom

a b c (Å): 5.9216 5.9712 10.2551
angles (deg): 74.40 73.27 60.37
Closest atoms and distances in Å follow each position.
Sites, in units of the cell vectors:
1 Bi 0.9733 0.0090 0.0007  3 N 2.16-2.20, 3 O 2.19-2.22
2 Bi 0.2701 0.2391 0.2632  4 N 2.14-2.17, 2 O 2.34-2.40
3 Bi 0.5085 0.5123 0.4925  5 N 2.16-2.22, 1 O 2.41
4 Bi 0.7621 0.7338 0.7455  4 N 2.15-2.25, 2 O 2.27-2.31
5 N 0.5677 0.2550 0.0855  2 Bi 2.16
6 N 0.3573 0.4958 0.3285  2 Bi 2.14-2.16
7 N 0.5329 0.8575 0.3565  2 Bi 2.17-2.20, 1 Nd 2.40
8 N 0.9292 0.2495 0.4177  2 Bi 2.16-2.22
9 N 0.0953 0.7322 0.5888  2 Bi 2.15-2.19
10 N 0.6584 0.5027 0.6682  2 Bi 2.15-2.20
11 N 0.8110 0.9806 0.8441  2 Bi 2.16-2.17
12 N 0.9681 0.3833 0.8949  2 Bi 2.20-2.25, 1 Nd 2.42
13 Nd 0.6029 0.6392 0.1148  3 O 2.41-2.52, 2 N 2.46-2.51
14 Nd 0.9233 0.8713 0.3716  4 N 2.40-2.48, 1 O 2.46
15 Nd 0.0966 0.1161 0.6344  1 O 2.38, 4 N 2.46-2.54
16 Nd 0.3862 0.3819 0.8748  4 N 2.42-2.48, 1 O 2.48
17 O 0.0111 0.6267 0.1226  2 Bi 2.22-2.40, 1 Nd 2.41
18 O 0.1614 0.0156 0.1547  2 Bi 2.20-2.34, 1 Nd 2.46
19 O 0.4984 0.1203 0.6318  2 Bi 2.27-2.41, 1 Nd 2.38
20 O 0.3859 0.7781 0.9093  2 Bi 2.19-2.31

A geometry-optimized NbAg3Te2Se2 structure. Source: OQMD via LeMat-Bulk, functional PBE.

* crystal system: orthorhombic
* space-group type: Cmm2
* VASP energy: -4.331 eV per atom

a b c (Å): 6.2768 6.2768 6.2649
angles (deg): 90.00 90.00 92.75
Closest atoms and distances in Å follow each position.
Sites, in units of the cell vectors:
1 Ag 0.0000 0.0000 0.4942  2 Se 2.64, 2 Te 2.73
2 Ag 0.5000 0.0000 0.9973  2 Se 2.62, 2 Te 2.75
3 Ag 0.0000 0.5000 0.9973  2 Se 2.62, 2 Te 2.75
4 Nb 0.0000 0.0000 0.9939  2 Se 2.49, 2 Te 2.74
5 Se 0.7767 0.2233 0.7640  1 Nb 2.49, 3 Ag 2.62-2.64
6 Se 0.2233 0.7767 0.7640  1 Nb 2.49, 3 Ag 2.62-2.64
7 Te 0.2588 0.2588 0.2446  3 Ag 2.73-2.75, 1 Nb 2.74
8 Te 0.7412 0.7412 0.2446  3 Ag 2.73-2.75, 1 Nb 2.74

A geometry-optimized HfAgGe2O7 structure. Source: OQMD via LeMat-Bulk, functional PBE.

* crystal system: monoclinic
* space-group type: C2
* VASP energy: -6.983 eV per atom

a b c (Å): 5.5677 5.5677 4.9026
angles (deg): 97.92 97.92 102.90
Closest atoms and distances in Å follow each position.
Sites, in units of the cell vectors:
1 Ag 0.2955 0.7045 0.0000  4 O 2.20-2.22
2 Ge 0.2193 0.2029 0.4167  4 O 1.73-1.77
3 Ge 0.7971 0.7807 0.5833  4 O 1.73-1.77
4 Hf 0.6814 0.3186 0.0000  6 O 1.99-2.12
5 O 0.4082 0.1062 0.1819  1 Ge 1.77
6 O 0.9968 0.3348 0.2546  1 Ge 1.73
7 O 0.6004 0.6100 0.2724  1 Ge 1.76
8 O 0.0917 0.9083 0.5000  2 Ge 1.76
9 O 0.3900 0.3996 0.7276  1 Ge 1.76
10 O 0.6652 0.0032 0.7454  1 Ge 1.73
11 O 0.8938 0.5918 0.8181  1 Ge 1.77